# Sr2TmFeO5 PBE with a Hubbard U optimized geometry
data_Sr2TmFeO5
_space_group_name_H-M_alt 'C m c 21'
_space_group_IT_number 36
_space_group_name_Hall 'C 2c -2'
_cell_length_a 3.407
_cell_length_b 14.209
_cell_length_c 10.853
_cell_angle_alpha 90.00
_cell_angle_beta 90.00
_cell_angle_gamma 90.00
loop_
_atom_site_label
_atom_site_type_symbol
_atom_site_fract_x
_atom_site_fract_y
_atom_site_fract_z
Sr1 Sr 0.000 0.117 0.000
Sr2 Sr 0.000 0.134 0.573
Tm1 Tm 0.000 0.217 0.296
Fe1 Fe 0.000 0.494 0.763
O1 O 0.000 0.055 0.324
O2 O 0.000 0.286 0.933
O3 O 0.000 0.297 0.663
O4 O 0.000 0.375 0.305
O5 O 0.000 0.498 0.089
# - DOS at the Fermi energy (states/eV/atom) = 0.00
# - total DFT energy (no corrections) (eV per cell) = -249.0
# - total magnetization (μB per formula unit) = 4.99